Computed, not measured: a geometry-optimized HgPd15 structure at the PBE level of DFT.

Unit cell a=3.9224 b=7.8189 c=43.1071 alpha=90.00 beta=90.00 gamma=90.00
Last column: nearest neighbours and their distance in Å.
Sites, in units of the cell vectors:
Pd (0.7500, 0.8750, 0.4314)  12 Pd 2.77-2.78
Pd (0.7500, 0.8727, 0.2480)  12 Pd 2.77-2.85
Pd (0.2500, 0.1252, 0.7062)  12 Pd 2.77-2.80
Pd (0.2500, 0.3750, 0.5686)  12 Pd 2.77-2.78
Pd (0.7500, 0.3777, 0.2478)  12 Pd 2.74-2.84
Pd (0.2500, 0.6251, 0.6143)  12 Pd 2.77-2.78
Pd (0.2500, 0.3753, 0.2941)  12 Pd 2.77-2.80
Pd (0.7500, 0.1249, 0.4771)  12 Pd 2.77-2.78
Pd (0.7500, 0.3750, 0.4315)  12 Pd 2.77-2.78
Pd (0.2500, 0.8751, 0.4771)  12 Pd 2.77-2.78
Pd (0.7500, 0.3749, 0.6143)  12 Pd 2.77-2.78
Pd (0.2500, 0.6216, 0.7999)  9 Pd 2.73-2.85, 3 Hg 2.98-3.04
Pd (0.7500, 0.1248, 0.3856)  12 Pd 2.77-2.78
Pd (0.2500, 0.8752, 0.3856)  12 Pd 2.77-2.78
Pd (0.7500, 0.8752, 0.6144)  12 Pd 2.77-2.78
Pd (0.7500, 0.3749, 0.5229)  12 Pd 2.77-2.78
Pd (0.2500, 0.6250, 0.4315)  12 Pd 2.77-2.78
Pd (0.2500, 0.6251, 0.5229)  12 Pd 2.77-2.78
Pd (0.2500, 0.3749, 0.4771)  12 Pd 2.77-2.78
Pd (0.7500, 0.6247, 0.2941)  12 Pd 2.77-2.80
Pd (0.7500, 0.1273, 0.7520)  12 Pd 2.77-2.85
Pd (0.2500, 0.1251, 0.3398)  12 Pd 2.77-2.79
Pd (0.2500, 0.8721, 0.2026)  11 Pd 2.76-2.81, 1 Hg 2.95
Pd (0.2500, 0.3784, 0.2001)  9 Pd 2.73-2.85, 3 Hg 2.98-3.04
Pd (0.7500, 0.8722, 0.7974)  11 Pd 2.76-2.81, 1 Hg 2.95
Pd (0.7500, 0.3784, 0.7999)  9 Pd 2.73-2.85, 3 Hg 2.98-3.04
Pd (0.2500, 0.8824, 0.8442)  6 Pd 2.69-2.81, 2 Hg 2.73
Pd (0.7500, 0.8748, 0.7062)  12 Pd 2.77-2.80
Pd (0.2500, 0.1278, 0.7974)  11 Pd 2.76-2.81, 1 Hg 2.95
Pd (0.7500, 0.6251, 0.6601)  12 Pd 2.77-2.79
Pd (0.2500, 0.1250, 0.4314)  12 Pd 2.77-2.78
Pd (0.2500, 0.3749, 0.3857)  12 Pd 2.77-2.78
Pd (0.7500, 0.8751, 0.5229)  12 Pd 2.77-2.78
Pd (0.7500, 0.3753, 0.7059)  12 Pd 2.77-2.80
Pd (0.7500, 0.6251, 0.4771)  12 Pd 2.77-2.78
Pd (0.2500, 0.1273, 0.2480)  12 Pd 2.77-2.85
Pd (0.7500, 0.1251, 0.6602)  12 Pd 2.77-2.79
Pd (0.2500, 0.3777, 0.7522)  12 Pd 2.74-2.84
Pd (0.7500, 0.6222, 0.7522)  12 Pd 2.74-2.84
Pd (0.2500, 0.3749, 0.6601)  12 Pd 2.77-2.79
Pd (0.2500, 0.8748, 0.2938)  12 Pd 2.77-2.80
Pd (0.2500, 0.1249, 0.5229)  12 Pd 2.77-2.78
Pd (0.2500, 0.6247, 0.7059)  12 Pd 2.77-2.80
Pd (0.2500, 0.1248, 0.6144)  12 Pd 2.77-2.78
Pd (0.7500, 0.6216, 0.2001)  9 Pd 2.73-2.85, 3 Hg 2.98-3.04
Pd (0.2500, 0.6223, 0.2478)  12 Pd 2.74-2.84
Pd (0.2500, 0.8749, 0.6602)  12 Pd 2.77-2.79
Pd (0.2500, 0.6251, 0.3399)  12 Pd 2.77-2.79
Pd (0.7500, 0.1176, 0.8442)  6 Pd 2.69-2.81, 2 Hg 2.73
Pd (0.7500, 0.1252, 0.2938)  12 Pd 2.77-2.80
Pd (0.7500, 0.6251, 0.3857)  12 Pd 2.77-2.78
Pd (0.2500, 0.8727, 0.7520)  12 Pd 2.77-2.85
Pd (0.2500, 0.1176, 0.1558)  6 Pd 2.69-2.81, 2 Hg 2.73
Pd (0.7500, 0.8824, 0.1558)  6 Pd 2.69-2.81, 2 Hg 2.73
Pd (0.7500, 0.1279, 0.2026)  11 Pd 2.76-2.81, 1 Hg 2.95
Pd (0.7500, 0.6250, 0.5686)  12 Pd 2.77-2.78
Pd (0.2500, 0.8750, 0.5686)  12 Pd 2.77-2.78
Pd (0.7500, 0.1250, 0.5686)  12 Pd 2.77-2.78
Pd (0.7500, 0.3749, 0.3399)  12 Pd 2.77-2.79
Pd (0.7500, 0.8749, 0.3398)  12 Pd 2.77-2.79
Hg (0.2500, 0.3573, 0.8516)  6 Pd 2.73-3.04, 2 Hg 2.97
Hg (0.7500, 0.3573, 0.1483)  6 Pd 2.73-3.04, 2 Hg 2.97
Hg (0.2500, 0.6427, 0.1483)  6 Pd 2.73-3.04, 2 Hg 2.97
Hg (0.7500, 0.6427, 0.8516)  6 Pd 2.73-3.04, 2 Hg 2.97

Symmetry   Pccm (49)
ΔE_f   31 meV per atom

---

Computed, not measured: a geometry-optimized Hg3Pd2 structure at the PBE level of DFT.

Unit cell a=7.2604 b=7.2604 c=3.8056 alpha=90.00 beta=90.00 gamma=90.00
Last column: nearest neighbours and their distance in Å.
Sites, in units of the cell vectors:
Pd (0.1399, 0.3601, 0.0000)  8 Hg 2.80-2.89, 1 Pd 2.87
Pd (0.3601, 0.8601, 0.0000)  8 Hg 2.80-2.89, 1 Pd 2.87
Pd (0.6399, 0.1399, 0.0000)  8 Hg 2.80-2.89, 1 Pd 2.87
Pd (0.8601, 0.6399, 0.0000)  8 Hg 2.80-2.89, 1 Pd 2.87
Hg (0.5000, 0.5000, 0.0000)  4 Pd 2.80
Hg (0.1586, 0.6586, 0.5000)  6 Pd 2.81-2.89
Hg (0.3414, 0.1586, 0.5000)  6 Pd 2.81-2.89
Hg (0.6586, 0.8414, 0.5000)  6 Pd 2.81-2.89
Hg (0.8414, 0.3414, 0.5000)  6 Pd 2.81-2.89
Hg (0.0000, 0.0000, 0.0000)  4 Pd 2.80

Symmetry   P4/mbm (127)
ΔE_f   -121 meV per atom

---

Computed, not measured: a geometry-optimized Hg5Pd6 structure at the PBE level of DFT.

Unit cell a=9.1006 b=9.1006 c=5.6981 alpha=90.00 beta=90.00 gamma=120.00
Last column: nearest neighbours and their distance in Å.
Sites, in units of the cell vectors:
Pd (0.5000, 0.0000, 0.0000)  6 Hg 2.82-2.99, 6 Pd 2.85-3.04
Pd (0.1591, 0.3182, 0.2500)  7 Hg 2.75-2.91, 4 Pd 3.04
Pd (0.3182, 0.1591, 0.7500)  7 Hg 2.75-2.91, 4 Pd 3.04
Pd (0.1591, 0.8409, 0.2500)  7 Hg 2.75-2.91, 4 Pd 3.04
Pd (0.0000, 0.5000, 0.5000)  6 Hg 2.82-2.99, 6 Pd 2.85-3.04
Pd (0.0000, 0.5000, 0.0000)  6 Hg 2.82-2.99, 6 Pd 2.85-3.04
Pd (0.5000, 0.0000, 0.5000)  6 Hg 2.82-2.99, 6 Pd 2.85-3.04
Pd (0.8409, 0.1591, 0.7500)  7 Hg 2.75-2.91, 4 Pd 3.04
Pd (0.6818, 0.8409, 0.2500)  7 Hg 2.75-2.91, 4 Pd 3.04
Pd (0.5000, 0.5000, 0.5000)  6 Hg 2.82-2.99, 6 Pd 2.85-3.04
Pd (0.8409, 0.6818, 0.7500)  7 Hg 2.75-2.91, 4 Pd 3.04
Pd (0.5000, 0.5000, 0.0000)  6 Hg 2.82-2.99, 6 Pd 2.85-3.04
Hg (0.6083, 0.8042, 0.7500)  8 Pd 2.82-2.91
Hg (0.8042, 0.6083, 0.2500)  8 Pd 2.82-2.91
Hg (0.3333, 0.6667, 0.2500)  9 Pd 2.75-2.99
Hg (0.8042, 0.1958, 0.2500)  8 Pd 2.82-2.91
Hg (0.1958, 0.3917, 0.7500)  8 Pd 2.82-2.91
Hg (0.3917, 0.1958, 0.2500)  8 Pd 2.82-2.91
Hg (0.0000, 0.0000, 0.0000)  2 Hg 2.85, 6 Pd 2.88
Hg (0.0000, 0.0000, 0.5000)  2 Hg 2.85, 6 Pd 2.88
Hg (0.6667, 0.3333, 0.7500)  9 Pd 2.75-2.99
Hg (0.1958, 0.8042, 0.7500)  8 Pd 2.82-2.91

Symmetry   P6_3/mmc (194)
ΔE_f   -151 meV per atom

---

Computed, not measured: a geometry-optimized HgPd4 structure at the PBE level of DFT.

Unit cell a=7.3901 b=7.3901 c=3.1397 alpha=90.00 beta=90.00 gamma=90.00
Last column: nearest neighbours and their distance in Å.
Sites, in units of the cell vectors:
Pd (0.1405, 0.6405, 0.0000)  7 Pd 2.64-2.94, 2 Hg 2.85
Pd (0.1559, 0.3441, 0.5000)  6 Pd 2.64-2.70
Pd (0.3595, 0.1405, 0.0000)  7 Pd 2.64-2.94, 2 Hg 2.85
Pd (0.8441, 0.6559, 0.5000)  6 Pd 2.64-2.70
Pd (0.3441, 0.8441, 0.5000)  6 Pd 2.64-2.70
Pd (0.8595, 0.3595, 0.0000)  7 Pd 2.64-2.94, 2 Hg 2.85
Pd (0.6405, 0.8595, 0.0000)  7 Pd 2.64-2.94, 2 Hg 2.85
Pd (0.6559, 0.1559, 0.5000)  6 Pd 2.64-2.70
Hg (0.5000, 0.5000, 0.0000)  4 Pd 2.85, 2 Hg 3.14
Hg (0.0000, 0.0000, 0.0000)  4 Pd 2.85, 2 Hg 3.14

Symmetry   P4/mbm (127)
ΔE_f   74 meV per atom

---

Computed, not measured: a geometry-optimized HgPd8 structure at the PBE level of DFT.

Unit cell a=4.7944 b=4.7944 c=28.2510 alpha=90.01 beta=90.01 gamma=47.55
Last column: nearest neighbours and their distance in Å.
Sites, in units of the cell vectors:
Pd (0.8486, 0.8486, 0.6420)  12 Pd 2.74-2.86
Pd (0.4545, 0.4545, 0.3893)  12 Pd 2.74-2.84
Pd (0.7523, 0.7523, 0.7386)  6 Pd 2.75-2.86, 3 Hg 2.79-2.81
Pd (0.2477, 0.2477, 0.2614)  6 Pd 2.75-2.86, 3 Hg 2.79-2.81
Pd (0.0517, 0.0517, 0.4527)  12 Pd 2.76-2.82
Pd (0.1514, 0.1514, 0.3580)  12 Pd 2.74-2.86
Pd (0.5455, 0.5455, 0.6107)  12 Pd 2.74-2.84
Pd (0.7532, 0.7532, 0.4212)  12 Pd 2.77-2.82
Pd (0.8511, 0.8511, 0.3264)  11 Pd 2.76-2.82, 1 Hg 2.95
Pd (0.4494, 0.4494, 0.7066)  9 Pd 2.75-2.84, 2 Hg 2.85
Pd (0.6493, 0.6493, 0.5156)  12 Pd 2.76-2.84
Pd (0.5506, 0.5506, 0.2934)  9 Pd 2.75-2.84, 2 Hg 2.85
Pd (0.9483, 0.9483, 0.5473)  12 Pd 2.76-2.82
Pd (0.1489, 0.1489, 0.6736)  11 Pd 2.76-2.82, 1 Hg 2.95
Pd (0.3507, 0.3507, 0.4844)  12 Pd 2.76-2.84
Pd (0.2468, 0.2468, 0.5788)  12 Pd 2.77-2.82
Hg (0.0522, 0.0522, 0.7736)  6 Pd 2.79-2.95
Hg (0.9478, 0.9478, 0.2264)  6 Pd 2.79-2.95

Symmetry   C2/m (12)
ΔE_f   52 meV per atom

---

Computed, not measured: a geometry-optimized Pm2HgPd2 structure at the PBE level of DFT.

Unit cell a=7.7991 b=7.7991 c=3.8436 alpha=90.00 beta=90.00 gamma=90.00
Last column: nearest neighbours and their distance in Å.
Sites, in units of the cell vectors:
Pd (0.6260, 0.1260, 0.0000)  1 Pd 2.78, 6 Pm 2.91-3.06, 2 Hg 3.08
Pd (0.8740, 0.6260, 0.0000)  1 Pd 2.78, 6 Pm 2.91-3.06, 2 Hg 3.08
Pd (0.3740, 0.8740, 0.0000)  1 Pd 2.78, 6 Pm 2.91-3.06, 2 Hg 3.08
Pd (0.1260, 0.3740, 0.0000)  1 Pd 2.78, 6 Pm 2.91-3.06, 2 Hg 3.08
Pm (0.6758, 0.8242, 0.5000)  6 Pd 2.91-3.06
Pm (0.3242, 0.1758, 0.5000)  6 Pd 2.91-3.06
Pm (0.8242, 0.3242, 0.5000)  6 Pd 2.91-3.06
Pm (0.1758, 0.6758, 0.5000)  6 Pd 2.91-3.06
Hg (0.0000, 0.0000, 0.0000)  4 Pd 3.08
Hg (0.5000, 0.5000, 0.0000)  4 Pd 3.08

Symmetry   P4/mbm (127)
ΔE_f   -783 meV per atom

---

Calculated volume values, unit Å³ per cell, following the record order: 1322.0, 200.6, 408.7, 171.5, 479.2, 233.8.